# 1
Ca4NF5 after structural relaxation, computed with PBE.

abc: 3.587 6.512 7.591
angles: 115.39 103.67 90.00
Fractional coordinates of all 10 atoms:
Ca  0.688  0.188  0.376
Ca  0.000  0.755  0.000
Ca  0.312  0.812  0.624
Ca  0.000  0.245  0.000
F  0.826  0.059  0.651
F  0.174  0.409  0.349
F  0.500  0.500  0.000
F  0.826  0.591  0.651
F  0.174  0.941  0.349
N  0.500  0.000  0.000

Calculated values
Raw formation energy = -3.1572 eV/atom
N(E_F) = 0.0 states/eV per cell
Space group = Immm, No. 71
Total moment = 0.0 μB per formula unit

---

# 2
RbAg2BiF6 after structural relaxation, computed with PBE.

abc: 6.533 6.599 9.100
angles: 90.00 88.86 90.00
Fractional coordinates of all 20 atoms:
Rb  0.500  0.000  0.000
Rb  0.000  0.500  0.500
Bi  0.000  0.500  0.000
Bi  0.500  0.000  0.500
Ag  0.489  0.524  0.778
Ag  0.011  0.024  0.722
Ag  0.511  0.476  0.222
Ag  0.989  0.976  0.278
F  0.877  0.643  0.215
F  0.183  0.134  0.474
F  0.872  0.777  0.881
F  0.377  0.857  0.715
F  0.817  0.866  0.526
F  0.623  0.143  0.285
F  0.683  0.366  0.974
F  0.372  0.723  0.381
F  0.628  0.277  0.619
F  0.128  0.223  0.119
F  0.317  0.634  0.026
F  0.123  0.357  0.785

Calculated values
Raw formation energy = -1.9312 eV/atom
N(E_F) = 0.0 states/eV per cell
Space group = P2_1/c, No. 14
Total moment = 0.0 μB per formula unit

---

# 3
TbPr12Tm6 after structural relaxation, computed with PBE.

abc: 9.613 9.613 9.613
angles: 110.89 110.89 110.89
Fractional coordinates of all 19 atoms:
Pr  0.104  0.157  0.737
Pr  0.157  0.737  0.104
Pr  0.627  0.941  0.419
Pr  0.843  0.263  0.896
Pr  0.737  0.104  0.157
Pr  0.059  0.581  0.373
Pr  0.581  0.373  0.059
Pr  0.941  0.419  0.627
Pr  0.373  0.059  0.581
Pr  0.263  0.896  0.843
Pr  0.896  0.843  0.263
Pr  0.419  0.627  0.941
Tm  0.471  0.215  0.318
Tm  0.215  0.318  0.471
Tm  0.682  0.529  0.785
Tm  0.318  0.471  0.215
Tm  0.785  0.682  0.529
Tm  0.529  0.785  0.682
Tb  0.000  0.000  0.000

Calculated values
N(E_F) = 26.3 states/eV per cell
ΔE_f = 0.02 eV per atom
Space group = R-3, No. 148
Total moment = 0.0 μB per formula unit

---

# 4
PtRh2Pb6 after structural relaxation, computed with PBE.

abc: 6.329 6.640 6.640
angles: 120.00 90.00 90.00
Fractional coordinates of all 9 atoms:
Pb  0.230  0.000  0.645
Pb  0.770  0.355  0.000
Pb  0.770  0.645  0.645
Pb  0.770  0.000  0.355
Pb  0.230  0.645  0.000
Pb  0.230  0.355  0.355
Rh  0.500  0.333  0.667
Rh  0.500  0.667  0.333
Pt  0.000  0.000  0.000

Calculated values
N(E_F) = 5.8 states/eV per cell
ΔE_f = -0.01 eV per atom
Space group = P-31m, No. 162
Total moment = 0.0 μB per formula unit

---

# 5
Hg2AuI2 after structural relaxation, computed with PBE.

abc: 8.115 8.115 5.817
angles: 90.00 90.00 90.00
Fractional coordinates of all 10 atoms:
Hg  0.876  0.376  0.500
Hg  0.124  0.624  0.500
Hg  0.624  0.876  0.500
Hg  0.376  0.124  0.500
I  0.760  0.260  0.000
I  0.260  0.240  0.000
I  0.740  0.760  0.000
I  0.240  0.740  0.000
Au  0.000  0.000  0.000
Au  0.500  0.500  0.000

Calculated values
Raw formation energy = 0.0826 eV/atom
N(E_F) = 2.0 states/eV per cell
Space group = P4/mbm, No. 127
Total moment = 0.0 μB per formula unit

---

# 6
MgPIO2 after structural relaxation, computed with PBE.

abc: 3.960 6.529 3.960
angles: 90.00 90.00 90.00
Each line ends with the local moment (μB).
Fractional coordinates of all 5 atoms:
Mg  0.000  0.000  0.000  -0.01
O  0.000  0.000  0.500  0.70
O  0.500  0.000  0.000  0.79
P  0.500  0.500  0.500  0.28
I  0.000  0.500  0.000  -0.01

Calculated values
Raw formation energy = -0.1050 eV/atom
N(E_F) = 3.4 states/eV per cell
Space group = P4/mmm, No. 123
Total moment = 2.4 μB per formula unit

---

# 7
Li2CoCu after structural relaxation, computed with PBE.

abc: 5.035 5.035 5.035
angles: 150.66 128.83 60.09
Each line ends with the local moment (μB).
Fractional coordinates of all 4 atoms:
Li  0.502  0.502  0.000  -0.03
Li  0.998  0.998  0.000  -0.03
Cu  0.750  0.250  0.500  0.03
Co  0.250  0.750  0.500  1.16

Calculated values
N(E_F) = 3.3 states/eV per cell
ΔE_f = 0.14 eV per atom
Space group = Immm, No. 71
Total moment = 1.0 μB per formula unit

---

# 8
Li2YW after structural relaxation, computed with PBE.

abc: 10.833 10.833 10.833
angles: 15.48 15.48 15.48
Fractional coordinates of all 4 atoms:
Li  0.508  0.508  0.508
Li  0.992  0.992  0.992
W  0.250  0.250  0.250
Y  0.750  0.750  0.750

Calculated values
N(E_F) = 3.1 states/eV per cell
ΔE_f = 0.65 eV per atom
Space group = R-3m, No. 166
Total moment = 0.0 μB per formula unit

---

# 9
LaIn2Ni2 after structural relaxation, computed with PBE.

abc: 7.878 7.878 3.166
angles: 90.00 90.00 90.00
Fractional coordinates of all 10 atoms:
La  0.500  0.500  0.000
La  0.000  0.000  0.000
In  0.651  0.849  0.500
In  0.849  0.349  0.500
In  0.151  0.651  0.500
In  0.349  0.151  0.500
Ni  0.636  0.136  0.000
Ni  0.136  0.364  0.000
Ni  0.364  0.864  0.000
Ni  0.864  0.636  0.000

Calculated values
N(E_F) = 11.2 states/eV per cell
ΔE_f = -0.14 eV per atom
Space group = P4/mbm, No. 127
Total moment = 0.0 μB per formula unit

---

# 10
PmNd6Sn after structural relaxation, computed with PBE.

abc: 5.016 5.016 10.422
angles: 90.00 90.00 90.00
Fractional coordinates of all 8 atoms:
Sn  0.000  0.000  0.000
Nd  0.000  0.500  0.240
Nd  0.000  0.500  0.760
Nd  0.500  0.500  0.000
Nd  0.500  0.000  0.240
Nd  0.500  0.000  0.760
Nd  0.500  0.500  0.500
Pm  0.000  0.000  0.500

Calculated values
N(E_F) = 8.0 states/eV per cell
ΔE_f = -0.20 eV per atom
Space group = P4/mmm, No. 123
Total moment = 0.0 μB per formula unit

---

# 11
Ca3NpU3N8 after structural relaxation, computed with PBE.

abc: 6.976 6.976 6.987
angles: 119.96 89.99 120.00
Each line ends with the local moment (μB).
Fractional coordinates of all 15 atoms:
N  0.741  0.483  0.724  -0.07
N  0.739  0.965  0.690  -0.10
N  0.261  0.035  0.310  -0.10
N  0.226  0.451  0.690  -0.10
N  0.774  0.035  0.310  -0.10
N  0.226  0.965  0.690  -0.10
N  0.259  0.517  0.276  -0.07
N  0.774  0.549  0.310  -0.10
Ca  0.000  0.000  0.000  0.05
Ca  0.000  0.500  0.000  0.05
Ca  0.500  0.500  0.000  0.05
Np  0.000  0.000  0.500  2.35
U  0.000  0.500  0.500  1.53
U  0.500  0.500  0.500  1.53
U  0.500  0.000  0.500  1.52

Calculated values
Raw formation energy = -1.1867 eV/atom
N(E_F) = 18.1 states/eV per cell
Space group = R-3m, No. 166
Total moment = 7.0 μB per formula unit

---

# 12
SmAlFe2C after structural relaxation, computed with PBE.

abc: 4.029 5.677 6.795
angles: 90.00 90.00 110.79
Each line ends with the local moment (μB).
Fractional coordinates of all 10 atoms:
Sm  0.447  0.893  0.750  -0.04
Sm  0.553  0.107  0.250  -0.04
Fe  0.162  0.324  0.927  0.89
Fe  0.838  0.676  0.427  0.89
Fe  0.838  0.676  0.073  0.89
Fe  0.162  0.324  0.573  0.89
C  0.000  0.000  0.500  -0.07
C  0.000  0.000  0.000  -0.07
Al  0.729  0.458  0.750  -0.03
Al  0.271  0.542  0.250  -0.03

Calculated values
N(E_F) = 8.2 states/eV per cell
ΔE_f = -0.23 eV per atom
Space group = Cmcm, No. 63
Total moment = 1.5 μB per formula unit